(1)
# LiCrSe3 | the Alexandria database | PBE | relaxed
data_LiCrSe3
_chemical_formula_sum 'Li1 Cr1 Se3'
_space_group_name_H-M_alt 'P 1'
_space_group_IT_number 1
_cell_length_a 4.557
_cell_length_b 4.557
_cell_length_c 6.033
_cell_angle_alpha 90.00
_cell_angle_beta 90.00
_cell_angle_gamma 90.00
loop_
_space_group_symop_operation_xyz
'x,y,z'
loop_
_atom_site_label
_atom_site_type_symbol
_atom_site_fract_x
_atom_site_fract_y
_atom_site_fract_z
Li1 Li 0.000 0.000 0.000
Cr1 Cr 0.500 0.500 0.597
Se1 Se 0.000 0.500 0.752
Se2 Se 0.500 0.000 0.752
Se3 Se 0.500 0.500 0.233
# - uncorrected formation energy (eV/f.u.) = -1.7
# - mass density (g/cm³) = 3.92
# - space group = P4mm
# - V (Å³/atom) = 25.06
# - raw total energy (eV per atom) = -4.75
# - D(E_F) (states/eV per atom) = 0.706

(2)
# LiCrSe3 | the Alexandria database | PBE | relaxed
data_LiCrSe3
_chemical_formula_sum 'Li4 Cr4 Se12'
_space_group_name_H-M_alt 'P 1'
_space_group_IT_number 1
_cell_length_a 8.632
_cell_length_b 8.632
_cell_length_c 8.632
_cell_angle_alpha 60.00
_cell_angle_beta 60.00
_cell_angle_gamma 60.00
loop_
_space_group_symop_operation_xyz
'x,y,z'
loop_
_atom_site_label
_atom_site_type_symbol
_atom_site_fract_x
_atom_site_fract_y
_atom_site_fract_z
Li1 Li 0.000 0.000 0.000
Li2 Li 0.000 0.000 0.500
Li3 Li 0.000 0.500 0.000
Li4 Li 0.500 0.000 0.000
Cr1 Cr 0.000 0.500 0.500
Cr2 Cr 0.500 0.000 0.500
Cr3 Cr 0.500 0.500 0.000
Cr4 Cr 0.500 0.500 0.500
Se1 Se 0.139 0.139 0.611
Se2 Se 0.139 0.611 0.139
Se3 Se 0.139 0.611 0.611
Se4 Se 0.389 0.389 0.861
Se5 Se 0.389 0.861 0.389
Se6 Se 0.389 0.861 0.861
Se7 Se 0.611 0.139 0.139
Se8 Se 0.611 0.139 0.611
Se9 Se 0.611 0.611 0.139
Se10 Se 0.861 0.389 0.389
Se11 Se 0.861 0.389 0.861
Se12 Se 0.861 0.861 0.389
# - uncorrected formation energy (eV/f.u.) = -2.1
# - mass density (g/cm³) = 4.32
# - space group = Fd-3m
# - V (Å³/atom) = 22.74
# - raw total energy (eV per atom) = -4.83
# - D(E_F) (states/eV per atom) = 0.771

(3)
# LiCr2Se | the Alexandria database | PBE | relaxed
data_LiCr2Se
_chemical_formula_sum 'Li2 Cr4 Se2'
_space_group_name_H-M_alt 'P 1'
_space_group_IT_number 1
_cell_length_a 4.299
_cell_length_b 4.299
_cell_length_c 6.102
_cell_angle_alpha 90.00
_cell_angle_beta 90.00
_cell_angle_gamma 90.00
loop_
_space_group_symop_operation_xyz
'x,y,z'
loop_
_atom_site_label
_atom_site_type_symbol
_atom_site_fract_x
_atom_site_fract_y
_atom_site_fract_z
Li1 Li 0.000 0.000 0.000
Li2 Li 0.500 0.500 0.500
Cr1 Cr 0.000 0.000 0.500
Cr2 Cr 0.000 0.500 0.250
Cr3 Cr 0.500 0.000 0.750
Cr4 Cr 0.500 0.500 0.000
Se1 Se 0.000 0.500 0.750
Se2 Se 0.500 0.000 0.250
# - uncorrected formation energy (eV/f.u.) = 0.4
# - mass density (g/cm³) = 5.59
# - space group = I-4m2
# - V (Å³/atom) = 14.10
# - raw total energy (eV per atom) = -6.07
# - D(E_F) (states/eV per atom) = 0.367